# 1
Compound: TlHg2W
Source: Alexandria
Functional: PBE-GGA
Structure: relaxed

abc: 3.0292 5.0260 5.8705
angles: 90.00 101.41 90.00
Element x y z (fractional)
Tl 0.0000 0.0000 0.0000
Hg 0.3710 0.5000 0.7252
Hg 0.6290 0.5000 0.2748
W 0.0000 0.0000 0.5000

symmetry = No. 10

***

# 2
Compound: TlHg2W
Source: Alexandria
Functional: PBE-GGA
Structure: relaxed

abc: 11.2205 3.0790 5.4526
angles: 90.00 115.73 90.00
Element x y z (fractional)
Tl 0.0000 0.0000 0.0000
Tl 0.5000 0.5000 0.0000
Hg 0.0481 0.5000 0.5390
Hg 0.2803 0.5000 0.4167
Hg 0.5481 0.0000 0.5390
Hg 0.7803 0.0000 0.4167
W 0.2624 0.0000 0.9503
W 0.7624 0.5000 0.9503

symmetry = No. 8

***

# 3
Compound: TlHg2W
Source: Alexandria
Functional: PBE-GGA
Structure: relaxed

abc: 2.9286 5.2906 5.5043
angles: 90.00 90.00 90.00
Element x y z (fractional)
Tl 0.0000 0.0000 0.0000
Hg 0.5000 0.0000 0.5222
Hg 0.5000 0.5000 0.1661
W 0.0000 0.5000 0.6506

symmetry = No. 25

***

# 4
Compound: TlHg2W
Source: Alexandria
Functional: PBE-GGA
Structure: relaxed

abc: 4.1647 4.1647 9.7092
angles: 90.00 90.00 90.00
Element x y z (fractional)
Tl 0.0000 0.0000 0.0000
Tl 0.5000 0.5000 0.5000
Hg 0.0000 0.0000 0.5000
Hg 0.0000 0.5000 0.2500
Hg 0.5000 0.0000 0.7500
Hg 0.5000 0.5000 0.0000
W 0.0000 0.5000 0.7500
W 0.5000 0.0000 0.2500

symmetry = No. 119

***

# 5
Compound: TlHg2W
Source: Alexandria
Functional: PBE-GGA
Structure: relaxed

abc: 7.0992 7.0992 7.0992
angles: 90.00 90.00 90.00
Element x y z (fractional)
Tl 0.0000 0.0000 0.0000
Tl 0.0000 0.5000 0.5000
Tl 0.5000 0.0000 0.5000
Tl 0.5000 0.5000 0.0000
Hg 0.0000 0.0000 0.5000
Hg 0.0000 0.5000 0.0000
Hg 0.2500 0.2500 0.7500
Hg 0.2500 0.7500 0.2500
Hg 0.5000 0.0000 0.0000
Hg 0.5000 0.5000 0.5000
Hg 0.7500 0.2500 0.2500
Hg 0.7500 0.7500 0.7500
W 0.2500 0.2500 0.2500
W 0.2500 0.7500 0.7500
W 0.7500 0.2500 0.7500
W 0.7500 0.7500 0.2500

symmetry = No. 216

***

# 6
Compound: TlHgW
Source: Alexandria
Functional: PBE-GGA
Structure: relaxed

abc: 2.9288 4.2774 10.1717
angles: 90.00 90.00 90.00
Element x y z (fractional)
Tl 0.0000 0.0000 0.0000
Tl 0.5000 0.5000 0.5000
Hg 0.0000 0.0000 0.3071
Hg 0.5000 0.5000 0.8071
W 0.0000 0.0000 0.6722
W 0.5000 0.5000 0.1722

symmetry = No. 44

***

| no. | magnetization (μB per formula unit) | distance to the lowest polymorph of the same formula (meV per atom) | ΔH_f (0 K) (eV per atom) |
| --- | --- | --- | --- |
| 1 | 0.00 | 189 | 0.85 |
| 2 | 0.00 | 81 | 0.75 |
| 3 | 0.18 | 155 | 0.82 |
| 4 | 0.67 | 300 | 0.97 |
| 5 | 2.99 | 467 | 1.13 |
| 6 | 0.75 | 240 | 1.11 |